Entry from Alexandria via LeMat-Bulk: an optimized crystal structure of La2MnS (GGA-PBE).

The value obtained for the total magnetization is 0.00 Bohr magnetons per cell. As for the uncorrected formation energy: -0.2677 eV/atom. As for the calculated volume: 25.0 Å³/atom.

Lattice parameters (Å, degrees): 6.9079 6.9079 6.4322 57.52 57.52 90.00
Last column: nearest neighbours and their distance in Å.
Atoms (fractional coordinates):
1 S 0.5000 0.5000 0.0000  4 La 2.95
2 S 0.2500 0.7500 0.5000  4 La 2.95
3 Mn 0.0000 0.0000 0.0000  4 La 2.40
4 Mn 0.7500 0.2500 0.5000  4 La 2.40
5 La 0.6867 0.1250 0.2500  2 Mn 2.40
6 La 0.0633 0.6250 0.2500  2 Mn 2.40
7 La 0.3750 0.3133 0.7500  2 Mn 2.40
8 La 0.8750 0.9367 0.7500  2 Mn 2.40